[1]
Na2SrSn: relaxed, PBE.

For the final energy, the calculation gives -1.9615 eV per atom. As for the total magnetic moment: 0.000 μB/f.u. For the formation enthalpy at 0 K, the calculation gives 119 meV per atom. The value obtained for the density of states at the Fermi level is 9.2 states/eV/cell.

It has space group R-3m (No. 166, hexagonal axes), with a = 3.7753 Å, b = 3.7753 Å, c = 37.7159 Å, α = 90.00°, β = 90.00° and γ = 120.00°. The asymmetric unit holds Na at (0.0000, 0.0000, 0.1002), Sr at (0.0000, 0.0000, 0.0000) and Sn at (0.0000, 0.0000, 0.5000).

=====

[2]
NaSrSn3: relaxed, PBE.

For the final energy, the calculation gives -3.2542 eV per atom. The calculation puts the energy above the most stable polymorph in this dataset at 0.0 meV/atom. As for the total magnetic moment: 0.000 μB/f.u. For the formation enthalpy at 0 K, the calculation gives -252 meV per atom. The value obtained for the density of states at the Fermi level is 10.3 states/eV/cell.

It has space group Cmcm (No. 63), with a = 5.036 Å, b = 30.269 Å, c = 4.556 Å, α = 90.00°, β = 90.00° and γ = 90.00°. The asymmetric unit holds Na at (0.000, 0.079, 0.250), Sr at (0.000, 0.203, 0.750), Sn at (0.000, 0.316, 0.750), Sn at (0.000, 0.377, 0.250) and Sn at (0.000, 0.472, 0.250).

=====

[3]
Na4SrSn2: relaxed, PBE.

For the final energy, the calculation gives -2.3636 eV per atom. As for the total magnetic moment: 0.000 μB/f.u. For the formation enthalpy at 0 K, the calculation gives -226 meV per atom. The value obtained for the density of states at the Fermi level is 4.9 states/eV/cell.

It has space group Cmmm (No. 65), with a = 4.825 Å, b = 20.243 Å, c = 4.822 Å, α = 90.00°, β = 90.00° and γ = 90.00°. The asymmetric unit holds Na at (0.000, 0.173, 0.000), Na at (0.000, 0.326, 0.500), Sr at (0.000, 0.500, 0.000) and Sn at (0.000, 0.069, 0.500).

=====

[4]
Na2Sr2Sn15: relaxed, PBE.

For the final energy, the calculation gives -3.6177 eV per atom. As for the total magnetic moment: 0.000 μB/f.u. For the formation enthalpy at 0 K, the calculation gives -142 meV per atom. The value obtained for the density of states at the Fermi level is 31.1 states/eV/cell.

It has space group R-3m (No. 166, hexagonal axes), with a = 10.5527 Å, b = 10.5527 Å, c = 17.6797 Å, α = 90.00°, β = 90.00° and γ = 120.00°. The asymmetric unit holds Na at (0.0000, 0.0000, 0.0997), Sr at (0.0000, 0.0000, 0.3341), Sn at (0.0000, 0.2931, 0.0000), Sn at (0.0000, 0.5000, 0.5000) and Sn at (0.0115, 0.5058, 0.1317).

=====

[5]
NaSr4Sn2: relaxed, PBE.

For the final energy, the calculation gives -2.7876 eV per atom. The calculation puts the energy above the most stable polymorph in this dataset at 0.0 meV/atom. As for the total magnetic moment: 0.000 μB/f.u. For the formation enthalpy at 0 K, the calculation gives -494 meV per atom. The value obtained for the density of states at the Fermi level is 11.0 states/eV/cell.

It has space group R-3m (No. 166, hexagonal axes), with a = 5.7490 Å, b = 5.7490 Å, c = 27.9020 Å, α = 90.00°, β = 90.00° and γ = 120.00°. The asymmetric unit holds Na at (0.0000, 0.0000, 0.0000), Sr at (0.0000, 0.0000, 0.1295), Sr at (0.0000, 0.0000, 0.3810) and Sn at (0.0000, 0.0000, 0.2534).

=====

[6]
Na7SrSn5: relaxed, PBE.

For the final energy, the calculation gives -2.5649 eV per atom. As for the total magnetic moment: 0.000 μB/f.u. For the formation enthalpy at 0 K, the calculation gives -186 meV per atom. The value obtained for the density of states at the Fermi level is 8.2 states/eV/cell.

It has space group Imm2 (No. 44), with a = 6.755 Å, b = 10.826 Å, c = 10.880 Å, α = 90.00°, β = 90.00° and γ = 90.00°. The asymmetric unit holds Na at (0.000, 0.000, 0.000), Na at (0.000, 0.000, 0.323), Na at (0.000, 0.295, 0.207), Na at (0.000, 0.336, 0.729), Na at (0.000, 0.500, 0.434), Sr at (0.000, 0.000, 0.646), Sn at (0.000, 0.500, 0.991) and Sn at (0.226, 0.242, 0.468).

=====

[7]
NaSr2Sn2: relaxed, PBE.

For the final energy, the calculation gives -2.7378 eV per atom. The calculation puts the energy above the most stable polymorph in this dataset at 308.2 meV/atom. As for the total magnetic moment: 0.000 μB/f.u. For the formation enthalpy at 0 K, the calculation gives -200 meV per atom. The value obtained for the density of states at the Fermi level is 15.1 states/eV/cell.

It has space group I4/mmm (No. 139), with a = 5.535 Å, b = 5.535 Å, c = 13.512 Å, α = 90.00°, β = 90.00° and γ = 90.00°. The asymmetric unit holds Na at (0.000, 0.000, 0.000), Sr at (0.000, 0.500, 0.250) and Sn at (0.000, 0.000, 0.397).

=====

[8]
NaSr2Sn: relaxed, PBE.

For the final energy, the calculation gives -2.5162 eV per atom. As for the total magnetic moment: 0.000 μB/f.u. For the formation enthalpy at 0 K, the calculation gives -345 meV per atom. The value obtained for the density of states at the Fermi level is 2.0 states/eV/cell.

It has space group P4/mmm (No. 123), with a = 5.899 Å, b = 5.899 Å, c = 4.124 Å, α = 90.00°, β = 90.00° and γ = 90.00°. The asymmetric unit holds Na at (0.000, 0.000, 0.000), Sr at (0.000, 0.500, 0.500) and Sn at (0.500, 0.500, 0.000).

=====

[9]
NaSr2Sn: relaxed, PBE.

For the final energy, the calculation gives -2.1126 eV per atom. As for the total magnetic moment: 0.000 μB/f.u. For the formation enthalpy at 0 K, the calculation gives 59 meV per atom. The value obtained for the density of states at the Fermi level is 16.6 states/eV/cell.

It has space group I-42d (No. 122), with a = 5.382 Å, b = 5.382 Å, c = 23.025 Å, α = 90.00°, β = 90.00° and γ = 90.00°. The asymmetric unit holds Na at (0.000, 0.000, 0.000), Sr at (0.231, 0.250, 0.625) and Sn at (0.000, 0.000, 0.500).

=====

[10]
NaSr3Sn: relaxed, PBE.

For the final energy, the calculation gives -2.2575 eV per atom. The calculation puts the energy above the most stable polymorph in this dataset at 126.9 meV/atom. As for the total magnetic moment: 0.000 μB/f.u. For the formation enthalpy at 0 K, the calculation gives -184 meV per atom. The value obtained for the density of states at the Fermi level is 5.3 states/eV/cell.

It has space group Pm-3m (No. 221), with a = 6.456 Å, b = 6.456 Å, c = 6.456 Å, α = 90.00°, β = 90.00° and γ = 90.00°. The asymmetric unit holds Na at (0.000, 0.000, 0.000), Sr at (0.000, 0.500, 0.500) and Sn at (0.500, 0.500, 0.500).

=====

[11]
NaSr2Sn: relaxed, PBE.

For the final energy, the calculation gives -2.5007 eV per atom. As for the total magnetic moment: 0.000 μB/f.u. For the formation enthalpy at 0 K, the calculation gives -329 meV per atom. The value obtained for the density of states at the Fermi level is 3.0 states/eV/cell.

It has space group P4/mmm (No. 123), with a = 4.148 Å, b = 4.148 Å, c = 8.921 Å, α = 90.00°, β = 90.00° and γ = 90.00°. The asymmetric unit holds Na at (0.000, 0.000, 0.000), Sr at (0.500, 0.500, 0.287) and Sn at (0.000, 0.000, 0.500).

=====

[12]
NaSr4Sn2: relaxed, PBE.

For the final energy, the calculation gives -2.6495 eV per atom. The calculation puts the energy above the most stable polymorph in this dataset at 138.1 meV/atom. As for the total magnetic moment: 0.667 μB/f.u. For the formation enthalpy at 0 K, the calculation gives -356 meV per atom. The value obtained for the density of states at the Fermi level is 7.8 states/eV/cell.

It has space group P2_1/m (No. 11), with a = 9.039 Å, b = 7.587 Å, c = 9.585 Å, α = 90.00°, β = 112.91° and γ = 90.00°. The asymmetric unit holds Na at (0.023, 0.250, 0.181), Sr at (0.249, 0.501, 0.568), Sr at (0.319, 0.750, 0.247), Sr at (0.367, 0.250, 0.014), Sn at (0.031, 0.250, 0.715) and Sn at (0.415, 0.250, 0.368).